Density functional theory data (PBE+U) for an optimized crystal structure of RbCuNiO2.

- Calculated density: 4.74 g/cm³
- Uncorrected energy: -4.41 eV/atom

Cell lengths 4.823, 6.213, 5.789 Å; angles 104.69, 90.00, 90.00 degrees
Fractional coordinates of all 10 atoms:
Rb  0.751  0.500  0.250
Rb  0.249  0.500  0.750
O  0.313  0.178  0.029
O  0.313  0.822  0.471
O  0.687  0.178  0.529
O  0.687  0.822  0.971
Ni  0.540  0.000  0.750
Ni  0.460  0.000  0.250
Cu  0.000  0.000  0.500
Cu  0.000  0.000  0.000